(1)
This record from Alexandria via LeMat-Bulk describes an optimized crystal structure of LiBe2CoSn. The functional is GGA-PBE.

Results
calculated total energy = -3.324 eV per atom
energy relative to the elements = 0.771 eV per atom
space group = P4/mmm (123)
M_tot = 0.05 μB per formula unit

Cell lengths 3.973, 3.973, 3.986 Å; angles 90.00, 90.00, 90.00 degrees
Atoms (fractional coordinates):
Li 0.000 0.000 0.000
Be 0.000 0.500 0.000
Be 0.500 0.000 0.000
Co 0.000 0.000 0.500
Sn 0.500 0.500 0.500

***

(2)
This record from Alexandria via LeMat-Bulk describes an optimized crystal structure of LiBeCo2Te. The functional is GGA-PBE.

Results
calculated total energy = -3.518 eV per atom
space group = P4/mmm (123)
uncorrected formation energy = 1.08 eV/atom
M_tot = 2.61 μB per formula unit

Cell lengths 4.677, 4.677, 4.813 Å; angles 90.00, 90.00, 90.00 degrees
Atoms (fractional coordinates):
Li 0.000 0.000 0.000
Be 0.500 0.500 0.000
Co 0.000 0.500 0.500
Co 0.500 0.000 0.500
Te 0.000 0.000 0.500

***

(3)
This record from Alexandria via LeMat-Bulk describes an optimized crystal structure of LiBeCo2Te. The functional is GGA-PBE.

Results
calculated total energy = -4.110 eV per atom
space group = P4/mmm (123)
uncorrected formation energy = 0.49 eV/atom
M_tot = 2.89 μB per formula unit

Cell lengths 4.054, 4.054, 4.757 Å; angles 90.00, 90.00, 90.00 degrees
Atoms (fractional coordinates):
Li 0.000 0.000 0.000
Be 0.500 0.500 0.500
Co 0.000 0.500 0.500
Co 0.500 0.000 0.500
Te 0.500 0.500 0.000

***

(4)
This record from Alexandria via LeMat-Bulk describes an optimized crystal structure of LuBeCo4. The functional is GGA-PBE.

Results
calculated total energy = -6.169 eV per atom
energy relative to the elements = -0.057 eV per atom
space group = F-43m (216)
M_tot = 5.09 μB per formula unit

Cell lengths 4.797, 4.797, 4.797 Å; angles 60.00, 60.00, 60.00 degrees
Atoms (fractional coordinates):
Lu 0.000 0.000 0.000
Be 0.750 0.750 0.750
Co 0.376 0.376 0.376
Co 0.376 0.376 0.872
Co 0.376 0.872 0.376
Co 0.872 0.376 0.376

***

(5)
This record from Alexandria via LeMat-Bulk describes an optimized crystal structure of LuBe4Co. The functional is GGA-PBE.

Results
calculated total energy = -4.618 eV per atom
energy relative to the elements = -0.196 eV per atom
space group = F-43m (216)
M_tot = 0.00 μB per formula unit

Cell lengths 4.526, 4.526, 4.526 Å; angles 60.00, 60.00, 60.00 degrees
Atoms (fractional coordinates):
Lu 0.000 0.000 0.000
Be 0.378 0.378 0.378
Be 0.378 0.378 0.866
Be 0.378 0.866 0.378
Be 0.866 0.378 0.378
Co 0.750 0.750 0.750

***

(6)
This record from Alexandria via LeMat-Bulk describes an optimized crystal structure of SmLuBeCo. The functional is GGA-PBE.

Results
calculated total energy = -5.026 eV per atom
energy relative to the elements = -0.008 eV per atom
space group = F-43m (216)
M_tot = 0.00 μB per formula unit

Cell lengths 6.739, 6.739, 6.739 Å; angles 90.00, 90.00, 90.00 degrees
Atoms (fractional coordinates):
Sm 0.000 0.000 0.000
Sm 0.000 0.500 0.500
Sm 0.500 0.000 0.500
Sm 0.500 0.500 0.000
Lu 0.000 0.000 0.500
Lu 0.000 0.500 0.000
Lu 0.500 0.000 0.000
Lu 0.500 0.500 0.500
Be 0.250 0.250 0.250
Be 0.250 0.750 0.750
Be 0.750 0.250 0.750
Be 0.750 0.750 0.250
Co 0.250 0.250 0.750
Co 0.250 0.750 0.250
Co 0.750 0.250 0.250
Co 0.750 0.750 0.750

***

(7)
This record from Alexandria via LeMat-Bulk describes an optimized crystal structure of LuTiBeCo. The functional is GGA-PBE.

Results
calculated total energy = -5.867 eV per atom
energy relative to the elements = -0.055 eV per atom
space group = F-43m (216)
M_tot = 0.28 μB per formula unit

Cell lengths 6.273, 6.273, 6.273 Å; angles 90.00, 90.00, 90.00 degrees
Atoms (fractional coordinates):
Lu 0.000 0.000 0.000
Lu 0.000 0.500 0.500
Lu 0.500 0.000 0.500
Lu 0.500 0.500 0.000
Ti 0.000 0.000 0.500
Ti 0.000 0.500 0.000
Ti 0.500 0.000 0.000
Ti 0.500 0.500 0.500
Be 0.250 0.250 0.750
Be 0.250 0.750 0.250
Be 0.750 0.250 0.250
Be 0.750 0.750 0.750
Co 0.250 0.250 0.250
Co 0.250 0.750 0.750
Co 0.750 0.250 0.750
Co 0.750 0.750 0.250

***

(8)
This record from Alexandria via LeMat-Bulk describes an optimized crystal structure of LuZrBeCo. The functional is GGA-PBE.

Results
calculated total energy = -6.078 eV per atom
energy relative to the elements = -0.103 eV per atom
space group = F-43m (216)
M_tot = 0.41 μB per formula unit

Cell lengths 6.477, 6.477, 6.477 Å; angles 90.00, 90.00, 90.00 degrees
Atoms (fractional coordinates):
Lu 0.000 0.000 0.000
Lu 0.000 0.500 0.500
Lu 0.500 0.000 0.500
Lu 0.500 0.500 0.000
Zr 0.000 0.000 0.500
Zr 0.000 0.500 0.000
Zr 0.500 0.000 0.000
Zr 0.500 0.500 0.500
Be 0.250 0.250 0.250
Be 0.250 0.750 0.750
Be 0.750 0.250 0.750
Be 0.750 0.750 0.250
Co 0.250 0.250 0.750
Co 0.250 0.750 0.250
Co 0.750 0.250 0.250
Co 0.750 0.750 0.750

***

(9)
This record from Alexandria via LeMat-Bulk describes an optimized crystal structure of MgBe2Co. The functional is GGA-PBE.

Results
calculated total energy = -3.972 eV per atom
energy relative to the elements = 0.066 eV per atom
space group = C2/m (12)
M_tot = 0.00 μB per formula unit

Cell lengths 7.896, 2.866, 4.353 Å; angles 90.00, 108.16, 90.00 degrees
Atoms (fractional coordinates):
Mg 0.000 0.000 0.000
Mg 0.500 0.500 0.000
Be 0.220 0.000 0.650
Be 0.280 0.500 0.350
Be 0.720 0.500 0.650
Be 0.780 0.000 0.350
Co 0.000 0.500 0.500
Co 0.500 0.000 0.500

***

(10)
This record from Alexandria via LeMat-Bulk describes an optimized crystal structure of MgBe2Co. The functional is GGA-PBE.

Results
calculated total energy = -3.958 eV per atom
energy relative to the elements = 0.081 eV per atom
space group = Immm (71)
M_tot = 0.00 μB per formula unit

Cell lengths 2.894, 3.967, 7.709 Å; angles 90.00, 90.00, 90.00 degrees
Atoms (fractional coordinates):
Mg 0.000 0.000 0.000
Mg 0.500 0.500 0.500
Be 0.000 0.500 0.227
Be 0.000 0.500 0.773
Be 0.500 0.000 0.273
Be 0.500 0.000 0.727
Co 0.000 0.000 0.500
Co 0.500 0.500 0.000

***

(11)
This record from Alexandria via LeMat-Bulk describes an optimized crystal structure of MgBe2Co2. The functional is GGA-PBE.

Results
calculated total energy = -4.501 eV per atom
energy relative to the elements = 0.151 eV per atom
space group = I4/mmm (139)
M_tot = 1.19 μB per formula unit

Cell lengths 3.879, 3.879, 7.875 Å; angles 90.00, 90.00, 90.00 degrees
Atoms (fractional coordinates):
Mg 0.000 0.000 0.000
Mg 0.500 0.500 0.500
Be 0.000 0.500 0.250
Be 0.000 0.500 0.750
Be 0.500 0.000 0.250
Be 0.500 0.000 0.750
Co 0.000 0.000 0.360
Co 0.000 0.000 0.640
Co 0.500 0.500 0.140
Co 0.500 0.500 0.860

***

(12)
This record from Alexandria via LeMat-Bulk describes an optimized crystal structure of MgBeCo3. The functional is GGA-PBE.

Results
calculated total energy = -5.003 eV per atom
energy relative to the elements = 0.325 eV per atom
space group = Pm-3m (221)
M_tot = 3.02 μB per formula unit

Cell lengths 3.941, 3.941, 3.941 Å; angles 90.00, 90.00, 90.00 degrees
Atoms (fractional coordinates):
Mg 0.000 0.000 0.000
Be 0.500 0.500 0.500
Co 0.000 0.500 0.500
Co 0.500 0.000 0.500
Co 0.500 0.500 0.000